Entry 1:
# Dy3AlFe8 | Alexandria via LeMat-Bulk | PBE-GGA | relaxed
data_Dy3AlFe8
_space_group_name_H-M_alt 'R 3 m'
_space_group_IT_number 160
_space_group_name_Hall 'R 3 -2"'
_cell_length_a 5.0345
_cell_length_b 5.0345
_cell_length_c 24.6483
_cell_angle_alpha 90.00
_cell_angle_beta 90.00
_cell_angle_gamma 120.00
loop_
_atom_site_label
_atom_site_type_symbol
_atom_site_fract_x
_atom_site_fract_y
_atom_site_fract_z
Dy1 Dy 0.0000 0.0000 0.0000
Dy2 Dy 0.0000 0.0000 0.1271
Dy3 Dy 0.0000 0.0000 0.6209
Al1 Al 0.0000 0.0000 0.4979
Fe1 Fe 0.0000 0.0000 0.3124
Fe2 Fe 0.0000 0.0000 0.8123
Fe3 Fe 0.0040 0.5020 0.0649
Fe4 Fe 0.1671 0.3342 0.8928
# spin magnetization	41.08	μB per cell
# DOS at the Fermi energy	37.04	states/eV per cell
# formation energy	-107	meV/atom
# crystal system	trigonal

***

Entry 2:
# Tl3TcB | Alexandria via LeMat-Bulk | PBE-GGA | relaxed
data_Tl3TcB
_space_group_name_H-M_alt 'P m -3 m'
_space_group_IT_number 221
_space_group_name_Hall '-P 4 2 3'
_cell_length_a 4.904
_cell_length_b 4.904
_cell_length_c 4.904
_cell_angle_alpha 90.00
_cell_angle_beta 90.00
_cell_angle_gamma 90.00
loop_
_atom_site_label
_atom_site_type_symbol
_atom_site_fract_x
_atom_site_fract_y
_atom_site_fract_z
Tl1 Tl 0.000 0.000 0.500
Tc1 Tc 0.500 0.500 0.500
B1 B 0.000 0.000 0.000
# spin magnetization	3.62	μB per cell
# DOS at the Fermi energy	3.01	states/eV per cell
# formation energy	1342	meV/atom
# offset from the most stable computed form	0.000	eV per atom
# crystal system	cubic

***

Entry 3:
# CuAs2N | Alexandria via LeMat-Bulk | PBE-GGA | relaxed
data_CuAs2N
_space_group_name_H-M_alt 'I -4 2 d'
_space_group_IT_number 122
_space_group_name_Hall 'I -4 2bw'
_cell_length_a 5.163
_cell_length_b 5.163
_cell_length_c 9.869
_cell_angle_alpha 90.00
_cell_angle_beta 90.00
_cell_angle_gamma 90.00
loop_
_atom_site_label
_atom_site_type_symbol
_atom_site_fract_x
_atom_site_fract_y
_atom_site_fract_z
Cu1 Cu 0.000 0.000 0.000
As1 As 0.210 0.250 0.625
N1 N 0.000 0.000 0.500
# spin magnetization	0.00	μB per cell
# DOS at the Fermi energy	0.43	states/eV per cell
# crystal system	tetragonal
# energy relative to the elements, uncorrected	485	meV/atom

***

Entry 4:
# Nd5Ho8Mg | Alexandria via LeMat-Bulk | PBE-GGA | relaxed
data_Nd5Ho8Mg
_space_group_name_H-M_alt 'I -4'
_space_group_IT_number 82
_cell_length_a 9.633
_cell_length_b 9.633
_cell_length_c 9.987
_cell_angle_alpha 90.00
_cell_angle_beta 90.00
_cell_angle_gamma 90.00
loop_
_space_group_symop_operation_xyz
'x,y,z'
'y,-x,-z'
'-x,-y,z'
'-y,x,-z'
'x+1/2,y+1/2,z+1/2'
'y+1/2,-x+1/2,-z+1/2'
'-x+1/2,-y+1/2,z+1/2'
'-y+1/2,x+1/2,-z+1/2'
loop_
_atom_site_label
_atom_site_type_symbol
_atom_site_fract_x
_atom_site_fract_y
_atom_site_fract_z
Nd1 Nd 0.000 0.000 0.000
Nd2 Nd 0.104 0.787 0.420
Ho1 Ho 0.070 0.673 0.093
Ho2 Ho 0.087 0.816 0.755
Mg1 Mg 0.000 0.500 0.750
# spin magnetization	0.00	μB per cell
# DOS at the Fermi energy	32.91	states/eV per cell
# formation energy	223	meV/atom
# crystal system	tetragonal

***

Entry 5:
# CsNaAlTe3 | Alexandria via LeMat-Bulk | PBE-GGA | relaxed
data_CsNaAlTe3
_space_group_name_H-M_alt 'C m c m'
_space_group_IT_number 63
_space_group_name_Hall '-C 2c 2'
_cell_length_a 7.328
_cell_length_b 16.670
_cell_length_c 7.740
_cell_angle_alpha 90.00
_cell_angle_beta 90.00
_cell_angle_gamma 90.00
loop_
_atom_site_label
_atom_site_type_symbol
_atom_site_fract_x
_atom_site_fract_y
_atom_site_fract_z
Cs1 Cs 0.000 0.213 0.250
Na1 Na 0.000 0.398 0.750
Al1 Al 0.000 0.064 0.750
Te1 Te 0.000 0.217 0.750
Te2 Te 0.236 0.000 0.000
# spin magnetization	0.00	μB per cell
# DOS at the Fermi energy	7.74	states/eV per cell
# crystal system	orthorhombic
# energy relative to the elements, uncorrected	-649	meV/atom

***

Entry 6:
# SmTlH6Pt2 | Alexandria via LeMat-Bulk | PBE-GGA | relaxed
data_SmTlH6Pt2
_space_group_name_H-M_alt 'C 1 2/c 1'
_space_group_IT_number 15
_cell_length_a 8.885
_cell_length_b 8.587
_cell_length_c 7.688
_cell_angle_alpha 90.00
_cell_angle_beta 111.89
_cell_angle_gamma 90.00
loop_
_space_group_symop_operation_xyz
'x,y,z'
'-x,-y,-z'
'-x,y,-z+1/2'
'x,-y,z+1/2'
'x+1/2,y+1/2,z'
'-x+1/2,-y+1/2,-z'
'-x+1/2,y+1/2,-z+1/2'
'x+1/2,-y+1/2,z+1/2'
loop_
_atom_site_label
_atom_site_type_symbol
_atom_site_fract_x
_atom_site_fract_y
_atom_site_fract_z
Sm1 Sm 0.000 0.052 0.250
Tl1 Tl 0.000 0.411 0.750
H1 H 0.016 0.152 0.535
H2 H 0.093 0.296 0.230
H3 H 0.225 0.118 0.854
Pt1 Pt 0.217 0.183 0.648
# spin magnetization	0.00	μB per cell
# DOS at the Fermi energy	0.12	states/eV per cell
# crystal system	monoclinic
# total DFT energy (no corrections)	-168.7	eV/cell